# TlBi2Se2, relaxed, DFT PBE-GGA
data_TlBi2Se2
_chemical_formula_sum 'Tl2 Bi4 Se4'
_space_group_name_H-M_alt 'I 4/m m m'
_space_group_IT_number 139
_space_group_name_Hall '-I 4 2'
_cell_length_a 5.780
_cell_length_b 5.780
_cell_length_c 9.908
_cell_angle_alpha 90.00
_cell_angle_beta 90.00
_cell_angle_gamma 90.00
loop_
_atom_site_label
_atom_site_fract_x
_atom_site_fract_y
_atom_site_fract_z
_atom_site_occupancy
Tl1 0.000 0.000 0.000 1
Bi1 0.000 0.000 0.330 1
Se1 0.000 0.500 0.250 1
# DOS at the Fermi energy ... 0.58 states/eV per atom
# Excess energy over the best structure of this formula in the dataset ... 0.000 eV per formula unit